GGA-PBEsol Ba8Ga7, optimized geometry; DOS(E_F) = 42.56 states/eV/cell; calculated total energy = -3.082 eV/atom; V = 2094 Å³ per cell; formation energy = -5.65 eV/f.u.
1.0
12.7939 0.0000 0.0000
0.0000 12.7939 0.0000
0.0000 0.0000 12.7939
Ba Ga
32 28
direct
0.0009 0.2970 0.9432
0.0182 0.7987 0.0612
0.0568 0.5009 0.2030
0.0612 0.0182 0.7987
0.1863 0.3137 0.6863
0.1883 0.1883 0.1883
0.2013 0.5612 0.4818
0.2030 0.0568 0.5009
0.2970 0.9432 0.0009
0.2987 0.4388 0.9818
0.3117 0.8117 0.6883
0.3137 0.6863 0.1863
0.4388 0.9818 0.2987
0.4432 0.4991 0.7030
0.4818 0.2013 0.5612
0.4991 0.7030 0.4432
0.5009 0.2030 0.0568
0.5182 0.7013 0.9388
0.5568 0.9991 0.7970
0.5612 0.4818 0.2013
0.6863 0.1863 0.3137
0.6883 0.3117 0.8117
0.7013 0.9388 0.5182
0.7030 0.4432 0.4991
0.7970 0.5568 0.9991
0.7987 0.0612 0.0182
0.8117 0.6883 0.3117
0.8137 0.8137 0.8137
0.9388 0.5182 0.7013
0.9432 0.0009 0.2970
0.9818 0.2987 0.4388
0.9991 0.7970 0.5568
0.0674 0.5674 0.9326
0.0750 0.7393 0.8065
0.0817 0.7543 0.3118
0.1882 0.9183 0.2543
0.1935 0.5750 0.7607
0.2393 0.6935 0.9250
0.2457 0.8118 0.4183
0.2543 0.1882 0.9183
0.2607 0.3065 0.4250
0.3065 0.4250 0.2607
0.3118 0.0817 0.7543
0.4183 0.2457 0.8118
0.4250 0.2607 0.3065
0.4326 0.4326 0.4326
0.5674 0.9326 0.0674
0.5750 0.7607 0.1935
0.5817 0.7457 0.6882
0.6882 0.5817 0.7457
0.6935 0.9250 0.2393
0.7393 0.8065 0.0750
0.7457 0.6882 0.5817
0.7543 0.3118 0.0817
0.7607 0.1935 0.5750
0.8065 0.0750 0.7393
0.8118 0.4183 0.2457
0.9183 0.2543 0.1882
0.9250 0.2393 0.6935
0.9326 0.0674 0.5674

=====

GGA-PBEsol Ba2GdGaSe5, optimized geometry; calculated total energy = -6.243 eV/atom; formation energy without anion corrections = -1.650 eV/atom; V = 517 Å³ per cell
1.0
7.2657 0.0000 0.0000
-2.6095 8.2746 0.0000
-2.1385 -2.9795 8.6069
Ba Gd Ga Se
4 2 2 10
direct
0.1353 0.4788 0.2913
0.1555 0.9890 0.2919
0.8445 0.0110 0.7081
0.8647 0.5212 0.7087
0.4985 0.2327 0.9981
0.5015 0.7673 0.0019
0.3053 0.3714 0.6866
0.6947 0.6286 0.3134
0.0157 0.7606 0.5095
0.2029 0.9101 0.9425
0.2096 0.4081 0.9279
0.4816 0.6530 0.6830
0.4861 0.1800 0.6804
0.5139 0.8200 0.3196
0.5184 0.3470 0.3170
0.7904 0.5919 0.0721
0.7971 0.0899 0.0575
0.9843 0.2394 0.4905

=====

GGA-PBEsol Ba3Ga2Ge4O14, optimized geometry; DOS(E_F) = 0.00 states/eV/cell; calculated total energy = -6.770 eV/atom; formation energy without anion corrections = -2.145 eV/atom; V = 322 Å³ per cell
1.0
8.5957 0.0000 0.0000
-4.2979 7.4441 0.0000
0.0000 0.0000 5.0249
Ba Ga Ge O
3 2 4 14
direct
0.0000 0.5718 0.0000
0.4282 0.4282 0.0000
0.5718 0.0000 0.0000
0.3333 0.6667 0.4992
0.6667 0.3333 0.5008
0.0000 0.0000 0.0000
0.0000 0.2433 0.5000
0.2433 0.0000 0.5000
0.7567 0.7567 0.5000
0.0952 0.8900 0.2302
0.1100 0.2052 0.2302
0.1644 0.4469 0.6518
0.2052 0.1100 0.7698
0.2825 0.8356 0.6518
0.3333 0.6667 0.1477
0.4469 0.1644 0.3482
0.5531 0.7175 0.6518
0.6667 0.3333 0.8523
0.7175 0.5531 0.3482
0.7948 0.9048 0.2302
0.8356 0.2825 0.3482
0.8900 0.0952 0.7698
0.9048 0.7948 0.7698

=====

GGA-PBEsol BaGaGe2Rh, optimized geometry; DOS(E_F) = 2.71 states/eV/cell; calculated total energy = -4.608 eV/atom; V = 117 Å³ per cell; formation energy = 0.47 eV/f.u.
1.0
4.9546 0.0000 0.0000
0.0000 4.9546 0.0000
0.0000 0.0000 4.7641
Ba Ga Ge Rh
1 1 2 1
direct
0.0000 0.0000 0.0000
0.5000 0.5000 0.5000
0.0000 0.5000 0.5000
0.5000 0.0000 0.5000
0.5000 0.5000 0.0000